Record 1
Here is a geometry-optimized Mg6CdAg8 structure from the Alexandria database. Energies are from GGA-PBE.

energy of formation from the pure elements = -67 meV/atom
N(E_F) = 0.26 states/eV/atom
E = -2.2865 eV per atom

a b c (Å): 8.0613 8.0613 16.0451
angles (deg): 90.00 90.00 120.00
Last column: nearest neighbours and their distance in Å.
Space group R-3 (No. 148, hexagonal axes)
Unique sites:
Mg (0.0138, 0.7621, 0.3954) (multiplicity 18)  4 Ag 2.69-2.93, 1 Mg 2.92
Cd (0.0000, 0.0000, 0.0000) (multiplicity 3)  6 Ag 2.86
Ag (0.0000, 0.0000, 0.2485) (multiplicity 6)  6 Ag 2.85-3.16, 6 Mg 3.06-3.08
Ag (0.0208, 0.7323, 0.8901) (multiplicity 18)  4 Mg 2.69-2.93, 2 Ag 2.77-2.85, 1 Cd 2.86



Record 2
Here is a geometry-optimized Mg2Cd8Ag structure from the Alexandria database. Energies are from GGA-PBE.

energy of formation from the pure elements = -41 meV/atom
N(E_F) = 0.33 states/eV/atom
E = -1.2558 eV per atom

a b c (Å): 4.5987 4.5987 11.6581
angles (deg): 90.00 90.00 90.00
Last column: nearest neighbours and their distance in Å.
Space group P4/mmm (No. 123)
Unique sites:
Mg (0.0000, 0.0000, 0.1793) (multiplicity 2)  12 Cd 3.11-3.25
Cd (0.0000, 0.5000, 0.0000) (multiplicity 2)  4 Mg 3.11, 8 Cd 3.11-3.25
Cd (0.0000, 0.5000, 0.3586) (multiplicity 4)  2 Ag 2.83, 2 Cd 3.10, 2 Mg 3.11
Cd (0.5000, 0.5000, 0.1798) (multiplicity 2)  8 Cd 3.10-3.11, 4 Mg 3.25
Ag (0.0000, 0.0000, 0.5000) (multiplicity 1)  8 Cd 2.83



Record 3
Here is a geometry-optimized Mg2Cd2Ag5 structure from the Alexandria database. Energies are from GGA-PBE.

energy of formation from the pure elements = -83 meV/atom
N(E_F) = 0.21 states/eV/atom
E = -2.2243 eV per atom

a b c (Å): 3.1738 5.6558 10.3864
angles (deg): 93.50 98.71 106.01
Last column: nearest neighbours and their distance in Å.
Space group P-1 (No. 2)
Unique sites:
Mg (0.2429, 0.1125, 0.3754) (multiplicity 2)  5 Ag 2.82-2.90
Cd (0.2728, 0.6694, 0.8748) (multiplicity 2)  7 Ag 2.94-3.00, 2 Cd 3.17
Ag (0.0000, 0.5000, 0.5000) (multiplicity 1)  4 Ag 2.79, 4 Mg 2.82-2.84
Ag (0.0116, 0.1321, 0.8897) (multiplicity 2)  3 Ag 2.81-2.85, 1 Mg 2.90, 5 Cd 2.94-3.00
Ag (0.4913, 0.6759, 0.3069) (multiplicity 2)  4 Ag 2.79-2.85, 2 Mg 2.87-2.88, 2 Cd 2.95-2.97